Version one
Below is a relaxed structure of TbLuNO, with properties calculated at the PBE level.

Cell lengths 4.792, 3.926, 6.801 Å; angles 90.00, 90.00, 90.00 degrees
Sites, in units of the cell vectors:
Tb1 0.250 0.000 0.164
Tb2 0.750 0.000 0.836
Lu1 0.250 0.500 0.667
Lu2 0.750 0.500 0.333
N1 0.250 0.500 0.343
N2 0.750 0.500 0.657
O1 0.250 0.000 0.811
O2 0.750 0.000 0.189

Summary:
- Space group: Pmma (51)
- Mass density: 9.4 Mg/m³

---

Version two
Below is a relaxed structure of TbLuNO, with properties calculated at the PBE level.

Cell lengths 4.322, 4.322, 7.972 Å; angles 90.00, 90.00, 90.00 degrees
Sites, in units of the cell vectors:
Tb1 0.250 0.250 0.102
Tb2 0.750 0.750 0.898
Lu1 0.250 0.750 0.500
Lu2 0.750 0.250 0.500
N1 0.250 0.250 0.568
N2 0.750 0.750 0.432
O1 0.250 0.750 0.000
O2 0.750 0.250 0.000

Summary:
- Space group: P4/nmm (129)
- Mass density: 8.1 Mg/m³

---

Version three
Below is a relaxed structure of TbLuNO, with properties calculated at the PBE level.

Cell lengths 4.803, 4.803, 4.740 Å; angles 90.00, 90.00, 90.00 degrees
Sites, in units of the cell vectors:
Tb1 0.250 0.750 0.000
Tb2 0.750 0.250 0.000
Lu1 0.250 0.250 0.500
Lu2 0.750 0.750 0.500
N1 0.250 0.250 0.001
N2 0.750 0.750 0.999
O1 0.250 0.750 0.500
O2 0.750 0.250 0.500

Summary:
- Space group: P4/nmm (129)
- Mass density: 11.1 Mg/m³

---

The most stable arrangement is version three, and the next structure is 43 meV per atom less stable.

---

Version one
Below is a relaxed structure of TbLuNO, with properties calculated at the PBE level.

Cell lengths 7.966, 6.546, 4.835 Å; angles 90.00, 90.00, 90.00 degrees
Sites, in units of the cell vectors:
Tb1 0.124 0.067 0.250
Tb2 0.124 0.433 0.750
Tb3 0.876 0.567 0.250
Tb4 0.876 0.933 0.750
Lu1 0.376 0.586 0.250
Lu2 0.376 0.914 0.750
Lu3 0.624 0.086 0.250
Lu4 0.624 0.414 0.750
N1 0.381 0.576 0.750
N2 0.381 0.924 0.250
N3 0.619 0.076 0.750
N4 0.619 0.424 0.250
O1 0.143 0.090 0.750
O2 0.143 0.410 0.250
O3 0.857 0.590 0.750
O4 0.857 0.910 0.250

Summary:
- Space group: Pbcm (57)
- Mass density: 9.6 Mg/m³

---

Version two
Below is a relaxed structure of TbLuNO, with properties calculated at the PBE level.

Cell lengths 3.954, 6.786, 4.815 Å; angles 90.00, 90.00, 90.00 degrees
Sites, in units of the cell vectors:
Tb1 0.000 0.161 0.000
Tb2 0.000 0.839 0.500
Lu1 0.500 0.327 0.500
Lu2 0.500 0.673 0.000
N1 0.000 0.179 0.500
N2 0.000 0.821 0.000
O1 0.500 0.348 0.999
O2 0.500 0.652 0.499

Summary:
- Space group: Pmc2_1 (26)
- Mass density: 9.4 Mg/m³

---

Version three
Below is a relaxed structure of TbLuNO, with properties calculated at the PBE level.

Cell lengths 6.484, 8.009, 4.896 Å; angles 90.00, 90.00, 90.00 degrees
Sites, in units of the cell vectors:
Tb1 0.080 0.129 0.000
Tb2 0.420 0.129 0.500
Tb3 0.580 0.871 0.000
Tb4 0.920 0.871 0.500
Lu1 0.070 0.620 0.001
Lu2 0.430 0.620 0.501
Lu3 0.570 0.380 0.001
Lu4 0.930 0.380 0.501
N1 0.062 0.132 0.500
N2 0.438 0.132 0.000
N3 0.562 0.868 0.500
N4 0.938 0.868 0.000
O1 0.097 0.622 0.502
O2 0.403 0.622 0.002
O3 0.597 0.378 0.502
O4 0.903 0.378 0.002

Summary:
- Space group: Pca2_1 (29)
- Mass density: 9.5 Mg/m³

---

The most stable arrangement is version one, and the next structure is 20 meV per atom less stable.

---

Version one
Below is a relaxed structure of Lu3PN2, with properties calculated at the PBE level.

Cell lengths 3.464, 3.464, 17.985 Å; angles 90.00, 90.00, 120.00 degrees
Sites, in units of the cell vectors:
Lu1 0.000 0.000 0.000
Lu2 0.000 0.000 0.500
Lu3 0.333 0.667 0.147
Lu4 0.333 0.667 0.353
Lu5 0.667 0.333 0.647
Lu6 0.667 0.333 0.853
P1 0.000 0.000 0.250
P2 0.000 0.000 0.750
N1 0.333 0.667 0.576
N2 0.333 0.667 0.924
N3 0.667 0.333 0.076
N4 0.667 0.333 0.424

Summary:
- Space group: P6_3/mmc (194)
- Mass density: 10.4 Mg/m³

---

Version two
Below is a relaxed structure of Lu3PN2, with properties calculated at the PBE level.

Cell lengths 3.486, 3.486, 8.862 Å; angles 90.00, 90.00, 120.00 degrees
Sites, in units of the cell vectors:
Lu1 0.000 0.000 0.000
Lu2 0.333 0.667 0.700
Lu3 0.667 0.333 0.300
P1 0.000 0.000 0.500
N1 0.333 0.667 0.152
N2 0.667 0.333 0.848

Summary:
- Space group: P-3m1 (164)
- Mass density: 10.4 Mg/m³

---

The most stable arrangement is version two, and the next structure is 23 meV per atom less stable.

---

Version one
Below is a relaxed structure of Lu3SbN2, with properties calculated at the PBE level.

Cell lengths 3.446, 3.446, 9.921 Å; angles 90.00, 90.00, 120.00 degrees
Sites, in units of the cell vectors:
Lu1 0.000 0.000 0.000
Lu2 0.333 0.667 0.740
Lu3 0.667 0.333 0.260
Sb1 0.000 0.000 0.500
N1 0.333 0.667 0.141
N2 0.667 0.333 0.859

Summary:
- Space group: P-3m1 (164)
- Mass density: 11.0 Mg/m³

---

Version two
Below is a relaxed structure of Lu3SbN2, with properties calculated at the PBE level.

Cell lengths 3.436, 3.436, 19.870 Å; angles 90.00, 90.00, 120.00 degrees
Sites, in units of the cell vectors:
Lu1 0.000 0.000 0.000
Lu2 0.000 0.000 0.500
Lu3 0.333 0.667 0.130
Lu4 0.333 0.667 0.370
Lu5 0.667 0.333 0.630
Lu6 0.667 0.333 0.870
Sb1 0.000 0.000 0.250
Sb2 0.000 0.000 0.750
N1 0.333 0.667 0.570
N2 0.333 0.667 0.930
N3 0.667 0.333 0.070
N4 0.667 0.333 0.430

Summary:
- Space group: P6_3/mmc (194)
- Mass density: 11.0 Mg/m³

---

The most stable arrangement is version two, and the next structure is 14 meV per atom less stable.

---

Version one
Below is a relaxed structure of NaLuNiPb, with properties calculated at the PBE level.

Cell lengths 7.020, 7.020, 7.020 Å; angles 90.00, 90.00, 90.00 degrees
Sites, in units of the cell vectors:
Na1 0.000 0.000 0.000
Na2 0.000 0.500 0.500
Na3 0.500 0.000 0.500
Na4 0.500 0.500 0.000
Lu1 0.000 0.000 0.500
Lu2 0.000 0.500 0.000
Lu3 0.500 0.000 0.000
Lu4 0.500 0.500 0.500
Ni1 0.250 0.250 0.250
Ni2 0.250 0.750 0.750
Ni3 0.750 0.250 0.750
Ni4 0.750 0.750 0.250
Pb1 0.250 0.250 0.750
Pb2 0.250 0.750 0.250
Pb3 0.750 0.250 0.250
Pb4 0.750 0.750 0.750

Summary:
- Space group: F-43m (216)
- Mass density: 8.9 Mg/m³

---

Version two
Below is a relaxed structure of NaLuNiPb, with properties calculated at the PBE level.

Cell lengths 6.821, 6.821, 6.821 Å; angles 90.00, 90.00, 90.00 degrees
Sites, in units of the cell vectors:
Na1 0.000 0.000 0.000
Na2 0.000 0.500 0.500
Na3 0.500 0.000 0.500
Na4 0.500 0.500 0.000
Lu1 0.250 0.250 0.250
Lu2 0.250 0.750 0.750
Lu3 0.750 0.250 0.750
Lu4 0.750 0.750 0.250
Ni1 0.000 0.000 0.500
Ni2 0.000 0.500 0.000
Ni3 0.500 0.000 0.000
Ni4 0.500 0.500 0.500
Pb1 0.250 0.250 0.750
Pb2 0.250 0.750 0.250
Pb3 0.750 0.250 0.250
Pb4 0.750 0.750 0.750

Summary:
- Space group: F-43m (216)
- Mass density: 9.7 Mg/m³

---

The most stable arrangement is version two, and the next structure is 115 meV per atom less stable.

---

Version one
Below is a relaxed structure of NaLuNiSe3, with properties calculated at the PBE level.

Cell lengths 10.482, 3.946, 13.306 Å; angles 90.00, 90.00, 90.00 degrees
Sites, in units of the cell vectors:
Na1 0.223 0.250 0.007
Na2 0.277 0.750 0.507
Na3 0.723 0.250 0.493
Na4 0.777 0.750 0.993
Lu1 0.016 0.750 0.744
Lu2 0.484 0.250 0.244
Lu3 0.516 0.750 0.756
Lu4 0.984 0.250 0.256
Ni1 0.236 0.750 0.229
Ni2 0.264 0.250 0.729
Ni3 0.736 0.750 0.271
Ni4 0.764 0.250 0.771
Se1 0.056 0.750 0.119
Se2 0.093 0.250 0.609
Se3 0.236 0.250 0.330
Se4 0.264 0.750 0.830
Se5 0.407 0.750 0.109
Se6 0.444 0.250 0.619
Se7 0.556 0.750 0.381
Se8 0.593 0.250 0.891
Se9 0.736 0.250 0.170
Se10 0.764 0.750 0.670
Se11 0.907 0.750 0.391
Se12 0.944 0.250 0.881

Summary:
- Space group: Pnma (62)
- Mass density: 6.0 Mg/m³

---

Version two
Below is a relaxed structure of NaLuNiSe3, with properties calculated at the PBE level.

Cell lengths 10.913, 4.023, 11.900 Å; angles 90.00, 90.00, 90.00 degrees
Sites, in units of the cell vectors:
Na1 0.184 0.250 0.006
Na2 0.316 0.750 0.506
Na3 0.684 0.250 0.494
Na4 0.816 0.750 0.994
Lu1 0.012 0.250 0.309
Lu2 0.488 0.750 0.809
Lu3 0.512 0.250 0.191
Lu4 0.988 0.750 0.691
Ni1 0.248 0.750 0.216
Ni2 0.252 0.250 0.716
Ni3 0.748 0.750 0.284
Ni4 0.752 0.250 0.784
Se1 0.046 0.750 0.146
Se2 0.106 0.250 0.565
Se3 0.224 0.750 0.810
Se4 0.276 0.250 0.310
Se5 0.394 0.750 0.065
Se6 0.454 0.250 0.646
Se7 0.546 0.750 0.354
Se8 0.606 0.250 0.935
Se9 0.724 0.750 0.690
Se10 0.776 0.250 0.190
Se11 0.894 0.750 0.435
Se12 0.954 0.250 0.854

Summary:
- Space group: Pnma (62)
- Mass density: 6.3 Mg/m³

---

Version three
Below is a relaxed structure of NaLuNiSe3, with properties calculated at the PBE level.

Cell lengths 8.389, 8.389, 8.308 Å; angles 103.54, 103.54, 27.77 degrees
Sites, in units of the cell vectors:
Na1 0.134 0.134 0.068
Na2 0.866 0.866 0.932
Lu1 0.171 0.171 0.596
Lu2 0.829 0.829 0.404
Ni1 0.496 0.496 0.303
Ni2 0.504 0.504 0.697
Se1 0.000 0.000 0.500
Se2 0.343 0.343 0.186
Se3 0.345 0.345 0.648
Se4 0.500 0.500 0.000
Se5 0.655 0.655 0.352
Se6 0.657 0.657 0.814

Summary:
- Space group: C2/m (12)
- Mass density: 6.2 Mg/m³

---

The most stable arrangement is version one, and the next structure is 41 meV per atom less stable.

---

Version one
Below is a relaxed structure of NaLuNiSe3, with properties calculated at the PBE level.

Cell lengths 13.677, 3.922, 10.683 Å; angles 90.00, 90.00, 90.00 degrees
Sites, in units of the cell vectors:
Na1 0.229 0.250 0.052
Na2 0.271 0.750 0.552
Na3 0.729 0.250 0.448
Na4 0.771 0.750 0.948
Lu1 0.019 0.250 0.342
Lu2 0.481 0.750 0.842
Lu3 0.519 0.250 0.158
Lu4 0.981 0.750 0.658
Ni1 0.009 0.750 0.089
Ni2 0.491 0.250 0.589
Ni3 0.509 0.750 0.411
Ni4 0.991 0.250 0.911
Se1 0.088 0.750 0.892
Se2 0.111 0.250 0.572
Se3 0.139 0.750 0.241
Se4 0.361 0.250 0.741
Se5 0.389 0.750 0.072
Se6 0.412 0.250 0.392
Se7 0.588 0.750 0.608
Se8 0.611 0.250 0.928
Se9 0.639 0.750 0.259
Se10 0.861 0.250 0.759
Se11 0.889 0.750 0.428
Se12 0.912 0.250 0.108

Summary:
- Space group: Pnma (62)
- Mass density: 5.7 Mg/m³

---

Version two
Below is a relaxed structure of NaLuNiSe3, with properties calculated at the PBE level.

Cell lengths 8.053, 4.023, 16.015 Å; angles 90.00, 90.00, 90.00 degrees
Sites, in units of the cell vectors:
Na1 0.080 0.250 0.212
Na2 0.420 0.750 0.712
Na3 0.580 0.250 0.288
Na4 0.920 0.750 0.788
Lu1 0.244 0.750 0.454
Lu2 0.256 0.250 0.954
Lu3 0.744 0.750 0.046
Lu4 0.756 0.250 0.546
Ni1 0.119 0.250 0.647
Ni2 0.381 0.750 0.147
Ni3 0.619 0.250 0.853
Ni4 0.881 0.750 0.353
Se1 0.011 0.750 0.590
Se2 0.134 0.750 0.057
Se3 0.192 0.250 0.787
Se4 0.308 0.750 0.287
Se5 0.366 0.250 0.557
Se6 0.489 0.250 0.090
Se7 0.511 0.750 0.910
Se8 0.634 0.750 0.443
Se9 0.692 0.250 0.713
Se10 0.808 0.750 0.213
Se11 0.866 0.250 0.943
Se12 0.989 0.250 0.410

Summary:
- Space group: Pnma (62)
- Mass density: 6.3 Mg/m³

---

Version three
Below is a relaxed structure of NaLuNiSe3, with properties calculated at the PBE level.

Cell lengths 7.207, 7.207, 10.165 Å; angles 90.00, 90.00, 148.73 degrees
Sites, in units of the cell vectors:
Na1 0.245 0.755 0.750
Na2 0.755 0.245 0.250
Lu1 0.000 0.000 0.000
Lu2 0.000 0.000 0.500
Ni1 0.484 0.516 0.250
Ni2 0.516 0.484 0.750
Se1 0.086 0.914 0.250
Se2 0.368 0.632 0.079
Se3 0.368 0.632 0.421
Se4 0.632 0.368 0.579
Se5 0.632 0.368 0.921
Se6 0.914 0.086 0.750

Summary:
- Space group: Cmcm (63)
- Mass density: 6.0 Mg/m³

---

The most stable arrangement is version one, and the next structure is 26 meV per atom less stable.